(1)
Computed, not measured: PrHo3 after structural relaxation at the PBE level of DFT.

Cell: 6.1830 6.1830 6.1830 Å, 131.73 131.73 70.65°
Positions (direct):
Pr (0.0000, 0.0000, 0.0000)
Ho (0.2500, 0.7500, 0.5000)
Ho (0.5000, 0.5000, 0.0000)
Ho (0.7500, 0.2500, 0.5000)

Summary:
The calculation puts the formation energy at 0.023 eV per atom. For the excess energy over the best structure of this formula in the dataset, the calculation gives 0.008 eV per atom. The calculation puts the density of states at the Fermi level at 5.543 states/eV per cell.

(2)
Computed, not measured: Hf2MgU after structural relaxation at the PBE level of DFT.

Cell: 2.9833 2.9833 9.8727 Å, 90.00 90.00 90.00°
Positions (direct):
Hf (0.0000, 0.0000, 0.2473)
Hf (0.0000, 0.0000, 0.7527)
Mg (0.5000, 0.5000, 0.5000)
U (0.5000, 0.5000, 0.0000)

Summary:
The calculation puts the formation energy at 0.179 eV per atom. For the excess energy over the best structure of this formula in the dataset, the calculation gives 0.000 eV per atom. The calculation puts the density of states at the Fermi level at 6.446 states/eV per cell.

(3)
Computed, not measured: HoAl2Ru after structural relaxation at the PBE level of DFT.

Cell: 5.5623 5.5623 5.5623 Å, 44.75 44.75 44.75°
Positions (direct):
Ho (0.0000, 0.0000, 0.0000)
Al (0.2081, 0.2081, 0.2081)
Al (0.7919, 0.7919, 0.7919)
Ru (0.5000, 0.5000, 0.5000)

Summary:
The calculation puts the formation energy at -0.502 eV per atom. The calculation puts the density of states at the Fermi level at 2.071 states/eV per cell.

(4)
Computed, not measured: Ce5HoSe6 after structural relaxation at the PBE level of DFT.

Cell: 7.2376 7.2376 7.2275 Å, 99.62 99.62 120.05°
Positions (direct):
Ce (0.0000, 0.0000, 0.0000)
Ce (0.1660, 0.8340, 0.5000)
Ce (0.3304, 0.6696, 0.0000)
Ce (0.6696, 0.3304, 0.0000)
Ce (0.8340, 0.1660, 0.5000)
Ho (0.5000, 0.5000, 0.5000)
Se (0.0927, 0.4190, 0.2559)
Se (0.2570, 0.2570, 0.7479)
Se (0.4190, 0.0927, 0.2559)
Se (0.5810, 0.9073, 0.7441)
Se (0.7430, 0.7430, 0.2521)
Se (0.9073, 0.5810, 0.7441)

Summary:
Its formation energy without anion corrections is -174.2 kJ/mol of atoms. The calculation puts the density of states at the Fermi level at 30.134 states/eV per cell.

(5)
Computed, not measured: Rb2BaMg2 after structural relaxation at the PBE level of DFT.

Cell: 9.4149 9.4149 6.1862 Å, 90.00 90.00 90.00°
Positions (direct):
Rb (0.1715, 0.3285, 0.0000)
Rb (0.3285, 0.8285, 0.0000)
Rb (0.6715, 0.1715, 0.0000)
Rb (0.8285, 0.6715, 0.0000)
Ba (0.0000, 0.0000, 0.5000)
Ba (0.5000, 0.5000, 0.5000)
Mg (0.1167, 0.6167, 0.5000)
Mg (0.3833, 0.1167, 0.5000)
Mg (0.6167, 0.8833, 0.5000)
Mg (0.8833, 0.3833, 0.5000)

Summary:
The calculation puts the formation energy at 0.204 eV per atom. For the excess energy over the best structure of this formula in the dataset, the calculation gives 0.000 eV per atom. The calculation puts the density of states at the Fermi level at 7.674 states/eV per cell.

(6)
Computed, not measured: Sc2AlRh after structural relaxation at the PBE level of DFT.

Cell: 3.3176 3.3176 6.6077 Å, 90.00 90.00 90.00°
Positions (direct):
Sc (0.0000, 0.0000, 0.2328)
Sc (0.0000, 0.0000, 0.7672)
Al (0.5000, 0.5000, 0.5000)
Rh (0.5000, 0.5000, 0.0000)

Summary:
The calculation puts the formation energy at -0.736 eV per atom. The calculation puts the density of states at the Fermi level at 2.558 states/eV per cell.

(7)
Computed, not measured: VHgPCl2 after structural relaxation at the PBE level of DFT.

Cell: 4.6641 4.6641 4.8686 Å, 90.00 90.00 90.00°
Positions (direct):
V (0.0000, 0.0000, 0.0000)
Hg (0.5000, 0.5000, 0.5000)
P (0.0000, 0.0000, 0.5000)
Cl (0.0000, 0.5000, 0.0000)
Cl (0.5000, 0.0000, 0.0000)

Summary:
Its formation energy without anion corrections is -19.7 kJ/mol of atoms. For the excess energy over the best structure of this formula in the dataset, the calculation gives 0.000 eV per atom. The calculation puts the density of states at the Fermi level at 3.314 states/eV per cell.

(8)
Computed, not measured: PdS2O after structural relaxation at the PBE level of DFT.

Cell: 7.9398 7.9398 7.9398 Å, 21.10 21.10 21.10°
Positions (direct):
Pd (0.0000, 0.0000, 0.0000)
S (0.0989, 0.0989, 0.0989)
S (0.9011, 0.9011, 0.9011)
O (0.5000, 0.5000, 0.5000)

Summary:
Its formation energy without anion corrections is 66.4 kJ/mol of atoms. The calculation puts the density of states at the Fermi level at 3.619 states/eV per cell.

| no. | total magnetization (μB/f.u.) |
| --- | --- |
| 1 | 0.0 |
| 2 | 0.0 |
| 3 | 0.0 |
| 4 | 4.5 |
| 5 | 0.0 |
| 6 | 0.0 |
| 7 | 0.0 |
| 8 | 0.0 |